[1]
A plane-wave DFT calculation with PBE was carried out for crystalline CaNb2As2 at its relaxed geometry.

Magnetic moment = 0.000 μB per atom
ΔH_f (0 K) = -0.681 eV/atom
Calculated total energy = -6.9692 eV per atom
Density = 5.871 Mg/m³
E above lowest polymorph = 0 meV per atom

Cell: 4.0293 4.0293 13.0908 Å, 90.00 90.00 90.00°
Space group I4/mmm (No. 139)
Unique sites:
1 Ca 0.0000 0.0000 0.0000
2 Nb 0.0000 0.5000 0.2500
3 As 0.0000 0.0000 0.3840

[2]
A plane-wave DFT calculation with PBE was carried out for crystalline CaNbAs2 at its relaxed geometry.

Magnetic moment = 0.250 μB per atom
ΔH_f (0 K) = -0.368 eV/atom
Calculated total energy = -5.7102 eV per atom
Density = 3.866 Mg/m³
E above lowest polymorph = 422 meV per atom

Cell: 6.4633 6.4633 11.6311 Å, 90.00 90.00 90.00°
Space group I-42d (No. 122)
Unique sites:
1 Ca 0.0000 0.0000 0.0000
2 Nb 0.0000 0.0000 0.5000
3 As 0.1945 0.2500 0.6250

[3]
A plane-wave DFT calculation with PBE was carried out for crystalline CaNb2As4 at its relaxed geometry.

Magnetic moment = 0.000 μB per atom
ΔH_f (0 K) = 0.351 eV/atom
Calculated total energy = -5.4691 eV per atom
Density = 4.796 Mg/m³

Cell: 5.2234 5.2234 13.3388 Å, 90.00 90.00 90.00°
Space group I4/mmm (No. 139)
Unique sites:
1 Ca 0.0000 0.0000 0.0000
2 Nb 0.0000 0.0000 0.4070
3 As 0.0000 0.0000 0.2273
4 As 0.0000 0.5000 0.0000

[4]
A plane-wave DFT calculation with PBE was carried out for crystalline CaNbAs3 at its relaxed geometry.

Magnetic moment = 0.000 μB per atom
ΔH_f (0 K) = 1.289 eV/atom
Calculated total energy = -3.9149 eV per atom
Density = 4.511 Mg/m³
E above lowest polymorph = 1589 meV per atom

Cell: 5.0875 5.0875 5.0875 Å, 90.00 90.00 90.00°
Space group Pm-3m (No. 221)
Unique sites:
1 Ca 0.0000 0.0000 0.0000
2 Nb 0.5000 0.5000 0.5000
3 As 0.0000 0.0000 0.5000

[5]
A plane-wave DFT calculation with PBE was carried out for crystalline CaNb2As2 at its relaxed geometry.

Magnetic moment = 0.000 μB per atom
ΔH_f (0 K) = -0.371 eV/atom
Calculated total energy = -6.6592 eV per atom
Density = 5.775 Mg/m³
E above lowest polymorph = 310 meV per atom

Cell: 4.9760 4.9760 8.7266 Å, 90.00 90.00 90.00°
Space group I4/mmm (No. 139)
Unique sites:
1 Ca 0.0000 0.0000 0.0000
2 Nb 0.0000 0.0000 0.3611
3 As 0.0000 0.5000 0.2500

[6]
A plane-wave DFT calculation with PBE was carried out for crystalline Ca2PaNbAs4 at its relaxed geometry.

Magnetic moment = 0.108 μB per atom
ΔH_f (0 K) = -0.953 eV/atom
Calculated total energy = -6.2241 eV per atom
Density = 6.155 Mg/m³

Cell: 6.8739 4.0302 7.2384 Å, 90.00 108.75 90.00°
Space group P2/m (No. 10)
Unique sites:
1 Ca 0.0000 0.0000 0.0000
2 Ca 0.5000 0.5000 0.0000
3 Pa 0.0000 0.5000 0.5000
4 Nb 0.5000 0.0000 0.5000
5 As 0.2554 0.0000 0.7313
6 As 0.2702 0.5000 0.2765

[7]
A plane-wave DFT calculation with PBE was carried out for crystalline Ca3Pa2NbAs6 at its relaxed geometry.

Magnetic moment = 0.158 μB per atom
ΔH_f (0 K) = -1.028 eV/atom
Calculated total energy = -6.2753 eV per atom
Density = 6.367 Mg/m³

Cell: 7.0157 12.1718 7.2629 Å, 90.00 108.92 90.00°
Space group C2/m (No. 12)
Unique sites:
1 Ca 0.0000 0.0000 0.0000
2 Ca 0.0000 0.3301 0.0000
3 Pa 0.0000 0.1659 0.5000
4 Nb 0.0000 0.5000 0.5000
5 As 0.2374 0.3385 0.7288
6 As 0.2450 0.5000 0.2681

[8]
A plane-wave DFT calculation with PBE was carried out for crystalline CaNbAsPt2 at its relaxed geometry.

Magnetic moment = 0.000 μB per atom
ΔH_f (0 K) = 0.806 eV/atom
Calculated total energy = -4.9548 eV per atom
Density = 7.679 Mg/m³

Cell: 4.8468 4.8468 5.5058 Å, 90.00 90.00 90.00°
Space group P4/mmm (No. 123)
Unique sites:
1 Ca 0.0000 0.0000 0.0000
2 Nb 0.0000 0.0000 0.5000
3 As 0.5000 0.5000 0.0000
4 Pt 0.0000 0.5000 0.5000

[9]
A plane-wave DFT calculation with PBE was carried out for crystalline Ca3Pu2NbAs6 at its relaxed geometry.

Magnetic moment = 0.755 μB per atom
ΔH_f (0 K) = -0.959 eV/atom
Calculated total energy = -7.0119 eV per atom
Density = 6.532 Mg/m³

Cell: 7.0528 12.2232 7.1872 Å, 90.00 109.23 90.00°
Space group C2/m (No. 12)
Unique sites:
1 Ca 0.0000 0.0000 0.0000
2 Ca 0.0000 0.3300 0.0000
3 Pu 0.0000 0.1660 0.5000
4 Nb 0.0000 0.5000 0.5000
5 As 0.2339 0.3412 0.7259
6 As 0.2405 0.5000 0.2732

[10]
A plane-wave DFT calculation with PBE was carried out for crystalline CaNbAs2S at its relaxed geometry.

Magnetic moment = 0.225 μB per atom
Calculated total energy = -4.9249 eV per atom
Density = 3.358 Mg/m³

Cell: 4.8212 4.8212 6.6995 Å, 90.00 90.00 90.00°
Space group P4/mmm (No. 123)
Unique sites:
1 Ca 0.0000 0.0000 0.0000
2 Nb 0.0000 0.0000 0.5000
3 As 0.0000 0.5000 0.5000
4 S 0.5000 0.5000 0.0000

[11]
A plane-wave DFT calculation with PBE was carried out for crystalline CaNbAs2W at its relaxed geometry.

Magnetic moment = 0.823 μB per atom
ΔH_f (0 K) = 1.346 eV/atom
Calculated total energy = -5.5186 eV per atom
Density = 5.843 Mg/m³

Cell: 4.9798 4.9798 5.3482 Å, 90.00 90.00 90.00°
Space group P4/mmm (No. 123)
Unique sites:
1 Ca 0.0000 0.0000 0.0000
2 Nb 0.0000 0.0000 0.5000
3 As 0.0000 0.5000 0.5000
4 W 0.5000 0.5000 0.0000

[12]
A plane-wave DFT calculation with PBE was carried out for crystalline CaNb2ZnAs at its relaxed geometry.

Magnetic moment = 0.328 μB per atom
ΔH_f (0 K) = 0.918 eV/atom
Calculated total energy = -4.6953 eV per atom
Density = 5.118 Mg/m³

Cell: 4.8353 4.8353 5.0820 Å, 90.00 90.00 90.00°
Space group P4/mmm (No. 123)
Unique sites:
1 Ca 0.0000 0.0000 0.0000
2 Nb 0.0000 0.5000 0.5000
3 Zn 0.5000 0.5000 0.5000
4 As 0.5000 0.5000 0.0000

[13]
A plane-wave DFT calculation with PBE was carried out for crystalline Ca3NdAs3 at its relaxed geometry.

Magnetic moment = 0.000 μB per atom
ΔH_f (0 K) = -1.266 eV/atom
Calculated total energy = -4.7973 eV per atom
Density = 4.429 Mg/m³

Cell: 9.0194 9.0194 9.0194 Å, 90.00 90.00 90.00°
Space group P2_13 (No. 198)
Unique sites:
1 Ca 0.0643 0.4357 0.5643
2 Ca 0.1805 0.1805 0.1805
3 Ca 0.1847 0.8153 0.3153
4 Nd 0.0636 0.5636 0.9364
5 As 0.9996 0.2515 0.8716

[14]
A plane-wave DFT calculation with PBE was carried out for crystalline CaNdAs2 at its relaxed geometry.

Magnetic moment = 0.000 μB per atom
ΔH_f (0 K) = -1.104 eV/atom
Calculated total energy = -5.1206 eV per atom
Density = 4.954 Mg/m³
E above lowest polymorph = 64 meV per atom

Cell: 4.3053 4.3053 20.9334 Å, 90.00 90.00 120.00°
Space group R3m (No. 160, hexagonal axes)
Unique sites:
1 Ca 0.0000 0.0000 0.0000
2 Nd 0.0000 0.0000 0.1733
3 As 0.0000 0.0000 0.5864
4 As 0.0000 0.0000 0.7560

[15]
A plane-wave DFT calculation with PBE was carried out for crystalline CaNdAs at its relaxed geometry.

Magnetic moment = 0.093 μB per atom
ΔH_f (0 K) = -0.820 eV/atom
Calculated total energy = -4.6266 eV per atom
Density = 4.150 Mg/m³

Cell: 4.1933 4.1933 6.8117 Å, 90.00 90.00 120.00°
Space group P3m1 (No. 156)
Unique sites:
1 Ca 0.0000 0.0000 0.0000
2 Nd 0.6667 0.3333 0.4897
3 As 0.3333 0.6667 0.2546

[16]
A plane-wave DFT calculation with PBE was carried out for crystalline CaNdAs2 at its relaxed geometry.

Magnetic moment = 0.000 μB per atom
ΔH_f (0 K) = -1.168 eV/atom
Calculated total energy = -5.1849 eV per atom
Density = 5.038 Mg/m³
E above lowest polymorph = 0 meV per atom

Cell: 4.2502 4.2502 21.1208 Å, 90.00 90.00 120.00°
Space group R-3m (No. 166, hexagonal axes)
Unique sites:
1 Ca 0.0000 0.0000 0.0000
2 Nd 0.0000 0.0000 0.5000
3 As 0.0000 0.0000 0.2485

[17]
A plane-wave DFT calculation with PBE was carried out for crystalline CaNd3As at its relaxed geometry.

Magnetic moment = 0.000 μB per atom
ΔH_f (0 K) = -0.375 eV/atom
Calculated total energy = -4.5662 eV per atom
Density = 4.786 Mg/m³

Cell: 5.7494 5.7494 5.7494 Å, 90.00 90.00 90.00°
Space group Pm-3m (No. 221)
Unique sites:
1 Ca 0.0000 0.0000 0.0000
2 Nd 0.0000 0.5000 0.5000
3 As 0.5000 0.5000 0.5000

[18]
A plane-wave DFT calculation with PBE was carried out for crystalline CaNdNi2As2 at its relaxed geometry.

Magnetic moment = 0.000 μB per atom
ΔH_f (0 K) = -0.938 eV/atom
Calculated total energy = -5.5429 eV per atom
Density = 6.320 Mg/m³

Cell: 4.0810 4.0810 8.2256 Å, 90.00 90.00 120.00°
Space group P-3m1 (No. 164)
Unique sites:
1 Ca 0.0000 0.0000 0.0000
2 Nd 0.0000 0.0000 0.5000
3 Ni 0.3333 0.6667 0.7452
4 As 0.3333 0.6667 0.2496

[19]
A plane-wave DFT calculation with PBE was carried out for crystalline Ca2NdNpAs4 at its relaxed geometry.

Magnetic moment = 0.256 μB per atom
ΔH_f (0 K) = -1.076 eV/atom
Calculated total energy = -6.1151 eV per atom
Density = 5.961 Mg/m³

Cell: 7.2702 4.2366 7.3024 Å, 90.00 109.49 90.00°
Space group P2/m (No. 10)
Unique sites:
1 Ca 0.0000 0.0000 0.0000
2 Ca 0.0000 0.5000 0.5000
3 Nd 0.5000 0.0000 0.5000
4 Np 0.5000 0.5000 0.0000
5 As 0.2639 0.5000 0.2377
6 As 0.2697 0.0000 0.7687

[20]
A plane-wave DFT calculation with PBE was carried out for crystalline Ca2Nd4As3O2 at its relaxed geometry.

Magnetic moment = 0.000 μB per atom
Calculated total energy = -6.0408 eV per atom
Density = 5.684 Mg/m³

Cell: 4.7367 4.7367 23.7979 Å, 90.00 90.00 90.00°
Space group I4/mmm (No. 139)
Unique sites:
1 Ca 0.0000 0.0000 0.2005
2 Nd 0.0000 0.5000 0.0813
3 As 0.0000 0.0000 0.3255
4 As 0.0000 0.0000 0.5000
5 O 0.0000 0.0000 0.1038

[21]
A plane-wave DFT calculation with PBE was carried out for crystalline CaNdAs2O8 at its relaxed geometry.

Magnetic moment = 0.091 μB per atom
Calculated total energy = -6.6662 eV per atom
Density = 4.910 Mg/m³

Cell: 5.1607 5.1607 11.7380 Å, 90.00 90.00 90.00°
Space group I-4 (No. 82)
Unique sites:
1 Ca 0.0000 0.0000 0.0000
2 Nd 0.0000 0.5000 0.2500
3 As 0.0000 0.0000 0.5000
4 As 0.0000 0.5000 0.7500
5 O 0.1371 0.2482 0.4216
6 O 0.1372 0.7489 0.8276

[22]
A plane-wave DFT calculation with PBE was carried out for crystalline Ca2NdPaAs4 at its relaxed geometry.

Magnetic moment = 0.000 μB per atom
ΔH_f (0 K) = -1.268 eV/atom
Calculated total energy = -5.8765 eV per atom
Density = 5.878 Mg/m³

Cell: 7.2702 4.2509 7.3215 Å, 90.00 109.47 90.00°
Space group P2/m (No. 10)
Unique sites:
1 Ca 0.0000 0.0000 0.0000
2 Ca 0.0000 0.5000 0.5000
3 Nd 0.5000 0.0000 0.5000
4 Pa 0.5000 0.5000 0.0000
5 As 0.2626 0.5000 0.2390
6 As 0.2675 0.0000 0.7677

[23]
A plane-wave DFT calculation with PBE was carried out for crystalline CaNd2PaAs4 at its relaxed geometry.

Magnetic moment = 0.000 μB per atom
ΔH_f (0 K) = -1.330 eV/atom
Calculated total energy = -6.2841 eV per atom
Density = 6.754 Mg/m³

Cell: 7.2663 4.2230 7.2920 Å, 90.00 109.23 90.00°
Space group P2/m (No. 10)
Unique sites:
1 Ca 0.0000 0.0000 0.0000
2 Nd 0.0000 0.5000 0.5000
3 Nd 0.5000 0.0000 0.5000
4 Pa 0.5000 0.5000 0.0000
5 As 0.2591 0.5000 0.2402
6 As 0.2612 0.0000 0.7623

[24]
A plane-wave DFT calculation with PBE was carried out for crystalline Ca4NdPa3As8 at its relaxed geometry.

Magnetic moment = 0.086 μB per atom
ΔH_f (0 K) = -1.210 eV/atom
Calculated total energy = -6.1134 eV per atom
Density = 6.332 Mg/m³

Cell: 8.4153 8.4153 20.4892 Å, 90.00 90.00 120.00°
Space group R-3m (No. 166, hexagonal axes)
Unique sites:
1 Ca 0.0000 0.0000 0.0000
2 Ca 0.0000 0.5000 0.0000
3 Nd 0.0000 0.0000 0.5000
4 Pa 0.0000 0.5000 0.5000
5 As 0.0000 0.0000 0.2442
6 As 0.0110 0.5055 0.7550